The following is a GGA-PBE calculation of a geometry-optimized Ba4Sn structure, from the Alexandria database.

Computed properties:
SG: Pm-3m
Calculated total energy in eV per cell: -12.503
ΔE_f in eV per atom: -0.16
M_tot in μB/f.u.: 1.068

abc: 6.855 6.855 6.855
angles: 90.00 90.00 90.00
Fractional positions:
Ba 0.000 0.000 0.000
Ba 0.000 0.500 0.500
Ba 0.500 0.000 0.500
Ba 0.500 0.500 0.000
Sn 0.500 0.500 0.500

The following is a GGA-PBE calculation of a geometry-optimized Ba5Sn4 structure, from the Alexandria database.

Computed properties:
SG: C2/m
Calculated total energy in eV per cell: -31.477
ΔE_f in eV per atom: -0.65
M_tot in μB/f.u.: 0.000

abc: 6.850 6.850 11.898
angles: 110.78 110.78 46.76
Fractional positions:
Ba 0.000 0.000 0.000
Ba 0.097 0.097 0.395
Ba 0.245 0.245 0.825
Ba 0.755 0.755 0.175
Ba 0.903 0.903 0.605
Sn 0.388 0.388 0.388
Sn 0.448 0.448 0.168
Sn 0.552 0.552 0.832
Sn 0.612 0.612 0.612

The following is a GGA-PBE calculation of a geometry-optimized Ba2Sn17 structure, from the Alexandria database.

Computed properties:
SG: R-3m
Calculated total energy in eV per cell: -73.886
ΔE_f in eV per atom: -0.10
M_tot in μB/f.u.: 0.000
E above lowest polymorph in kJ per mole of atoms: 0.7

abc: 8.758 8.758 8.758
angles: 70.78 70.78 70.78
Fractional positions:
Ba 0.214 0.214 0.214
Ba 0.786 0.786 0.786
Sn 0.000 0.500 0.500
Sn 0.081 0.081 0.686
Sn 0.081 0.686 0.081
Sn 0.207 0.500 0.793
Sn 0.207 0.793 0.500
Sn 0.314 0.919 0.919
Sn 0.409 0.409 0.409
Sn 0.500 0.000 0.500
Sn 0.500 0.207 0.793
Sn 0.500 0.500 0.000
Sn 0.500 0.793 0.207
Sn 0.591 0.591 0.591
Sn 0.686 0.081 0.081
Sn 0.793 0.207 0.500
Sn 0.793 0.500 0.207
Sn 0.919 0.314 0.919
Sn 0.919 0.919 0.314

The following is a GGA-PBE calculation of a geometry-optimized BaSn3 structure, from the Alexandria database.

Computed properties:
SG: C2/m
Calculated total energy in eV per cell: -46.229
ΔE_f in eV per atom: -0.37
M_tot in μB/f.u.: 0.000

abc: 6.410 6.410 11.505
angles: 107.26 107.26 62.25
Fractional positions:
Ba 0.000 0.000 0.000
Ba 0.139 0.139 0.421
Ba 0.861 0.861 0.579
Sn 0.084 0.575 0.241
Sn 0.351 0.351 0.003
Sn 0.410 0.410 0.738
Sn 0.425 0.916 0.759
Sn 0.500 0.500 0.500
Sn 0.575 0.084 0.241
Sn 0.590 0.590 0.262
Sn 0.649 0.649 0.997
Sn 0.916 0.425 0.759

The following is a GGA-PBE calculation of a geometry-optimized Ba3Sn4 structure, from the Alexandria database.

Computed properties:
SG: Amm2
Calculated total energy in eV per cell: -52.039
ΔE_f in eV per atom: -0.61
M_tot in μB/f.u.: 0.000

abc: 16.073 6.835 6.835
angles: 44.37 90.00 90.00
Fractional positions:
Ba 0.000 0.000 0.000
Ba 0.150 0.287 0.287
Ba 0.349 0.719 0.719
Ba 0.500 0.006 0.006
Ba 0.651 0.719 0.719
Ba 0.850 0.287 0.287
Sn 0.000 0.715 0.715
Sn 0.149 0.573 0.573
Sn 0.255 0.013 0.013
Sn 0.349 0.430 0.430
Sn 0.500 0.292 0.292
Sn 0.651 0.430 0.430
Sn 0.745 0.013 0.013
Sn 0.851 0.573 0.573

The following is a GGA-PBE calculation of a geometry-optimized BaSn2 structure, from the Alexandria database.

Computed properties:
SG: I4/mmm
Calculated total energy in eV per cell: -11.273
ΔE_f in eV per atom: -0.45
M_tot in μB/f.u.: 0.000

abc: 6.822 6.822 6.822
angles: 145.54 145.54 49.53
Fractional positions:
Ba 0.000 0.000 0.000
Sn 0.300 0.300 0.000
Sn 0.700 0.700 0.000

The following is a GGA-PBE calculation of a geometry-optimized BaSn8 structure, from the Alexandria database.

Computed properties:
SG: I4/mmm
Calculated total energy in eV per cell: -34.932
ΔE_f in eV per atom: -0.11
M_tot in μB/f.u.: 0.000

abc: 7.862 7.862 7.862
angles: 95.54 95.54 143.81
Fractional positions:
Ba 0.000 0.000 0.000
Sn 0.000 0.348 0.348
Sn 0.000 0.652 0.652
Sn 0.314 0.314 0.628
Sn 0.314 0.686 0.000
Sn 0.348 0.000 0.348
Sn 0.652 0.000 0.652
Sn 0.686 0.314 0.000
Sn 0.686 0.686 0.372

The following is a GGA-PBE calculation of a geometry-optimized Ba3Sn2 structure, from the Alexandria database.

Computed properties:
SG: P4_32_12
Calculated total energy in eV per cell: -68.002
ΔE_f in eV per atom: -0.65
M_tot in μB/f.u.: 0.000

abc: 6.720 6.720 18.047
angles: 90.00 90.00 90.00
Fractional positions:
Ba 0.085 0.342 0.387
Ba 0.158 0.585 0.137
Ba 0.173 0.173 0.000
Ba 0.327 0.673 0.750
Ba 0.342 0.085 0.613
Ba 0.415 0.842 0.363
Ba 0.585 0.158 0.863
Ba 0.658 0.915 0.113
Ba 0.673 0.327 0.250
Ba 0.827 0.827 0.500
Ba 0.842 0.415 0.637
Ba 0.915 0.658 0.887
Sn 0.088 0.171 0.798
Sn 0.171 0.088 0.202
Sn 0.329 0.588 0.548
Sn 0.412 0.671 0.952
Sn 0.588 0.329 0.452
Sn 0.671 0.412 0.048
Sn 0.829 0.912 0.702
Sn 0.912 0.829 0.298

The following is a GGA-PBE calculation of a geometry-optimized Ba3Sn structure, from the Alexandria database.

Computed properties:
SG: I-4
Calculated total energy in eV per cell: -45.207
ΔE_f in eV per atom: -0.38
M_tot in μB/f.u.: 0.096
E above lowest polymorph in kJ per mole of atoms: 0.0

abc: 10.921 10.921 10.921
angles: 96.82 96.82 139.68
Fractional positions:
Ba 0.074 0.015 0.609
Ba 0.112 0.315 0.967
Ba 0.114 0.445 0.603
Ba 0.348 0.145 0.033
Ba 0.406 0.465 0.391
Ba 0.488 0.886 0.331
Ba 0.535 0.926 0.941
Ba 0.555 0.157 0.669
Ba 0.685 0.652 0.797
Ba 0.843 0.512 0.397
Ba 0.855 0.888 0.203
Ba 0.985 0.594 0.059
Sn 0.064 0.714 0.752
Sn 0.286 0.037 0.350
Sn 0.688 0.936 0.650
Sn 0.963 0.312 0.248

The following is a GGA-PBE calculation of a geometry-optimized Ba3Sn structure, from the Alexandria database.

Computed properties:
SG: Immm
Calculated total energy in eV per cell: -11.033
ΔE_f in eV per atom: -0.32
M_tot in μB/f.u.: 0.001
E above lowest polymorph in kJ per mole of atoms: 6.5

abc: 8.124 8.124 8.124
angles: 147.86 134.96 56.41
Fractional positions:
Ba 0.000 0.000 0.000
Ba 0.311 0.811 0.500
Ba 0.689 0.189 0.500
Sn 0.500 0.500 0.000

The following is a GGA-PBE calculation of a geometry-optimized BaSn4 structure, from the Alexandria database.

Computed properties:
SG: I-43m
Calculated total energy in eV per cell: -77.310
ΔE_f in eV per atom: -0.28
M_tot in μB/f.u.: 0.000

abc: 9.504 9.504 9.504
angles: 109.47 109.47 109.47
Fractional positions:
Ba 0.000 0.000 0.442
Ba 0.000 0.442 0.000
Ba 0.442 0.000 0.000
Ba 0.558 0.558 0.558
Sn 0.000 0.000 0.801
Sn 0.000 0.350 0.350
Sn 0.000 0.650 0.650
Sn 0.000 0.801 0.000
Sn 0.199 0.199 0.199
Sn 0.250 0.500 0.750
Sn 0.250 0.750 0.500
Sn 0.350 0.000 0.350
Sn 0.350 0.350 0.000
Sn 0.500 0.250 0.750
Sn 0.500 0.750 0.250
Sn 0.650 0.000 0.650
Sn 0.650 0.650 0.000
Sn 0.750 0.250 0.500
Sn 0.750 0.500 0.250
Sn 0.801 0.000 0.000

The following is a GGA-PBE calculation of a geometry-optimized Ba3Sn13 structure, from the Alexandria database.

Computed properties:
SG: Amm2
Calculated total energy in eV per cell: -62.657
ΔE_f in eV per atom: -0.30
M_tot in μB/f.u.: 0.000

abc: 11.256 7.224 7.224
angles: 60.03 90.00 90.00
Fractional positions:
Ba 0.000 0.000 0.000
Ba 0.248 0.665 0.665
Ba 0.752 0.665 0.665
Sn 0.000 0.054 0.474
Sn 0.000 0.474 0.054
Sn 0.000 0.474 0.474
Sn 0.253 0.187 0.187
Sn 0.255 0.187 0.622
Sn 0.255 0.622 0.187
Sn 0.500 0.026 0.444
Sn 0.500 0.444 0.026
Sn 0.500 0.463 0.463
Sn 0.500 0.925 0.925
Sn 0.745 0.187 0.622
Sn 0.745 0.622 0.187
Sn 0.747 0.187 0.187